The following is a GGA-PBE calculation of crystalline MgTl2Si at its relaxed geometry, from the Alexandria database.

Cell: 3.3850 3.3850 8.7438 Å, 90.00 90.00 102.47°
Positions (direct):
Mg 0.5000 0.5000 0.2500
Tl 0.0000 0.0000 0.9884
Tl 0.0000 0.0000 0.5116
Si 0.5000 0.5000 0.7500

For the uncorrected formation energy, the calculation gives 7.079 kcal/mol of atoms. For the total energy, the calculation gives -2.631 eV/atom. For the size of the total moment, the calculation gives 0.000 μB/f.u. The calculation puts the density of states at the Fermi level at 0.3723 states/eV/atom.



The following is a GGA-PBE calculation of crystalline MgTl2Si at its relaxed geometry, from the Alexandria database.

Cell: 9.0827 9.0827 6.9576 Å, 49.25 49.25 90.00°
Positions (direct):
Mg 0.2500 0.7500 0.5000
Mg 0.5000 0.5000 0.0000
Si 0.7500 0.2500 0.5000
Si 0.0000 0.0000 0.0000
Tl 0.7062 0.1250 0.2500
Tl 0.3750 0.2938 0.7500
Tl 0.0438 0.6250 0.2500
Tl 0.8750 0.9562 0.7500

For the uncorrected formation energy, the calculation gives 6.704 kcal/mol of atoms. For the total energy, the calculation gives -2.647 eV/atom. For the size of the total moment, the calculation gives 0.000 μB/f.u. The calculation puts the density of states at the Fermi level at 0.1941 states/eV/atom.



The following is a GGA-PBE calculation of crystalline MgTl2Si at its relaxed geometry, from the Alexandria database.

Cell: 4.2995 5.0492 4.4310 Å, 90.00 90.00 90.00°
Positions (direct):
Tl 0.0000 0.0000 0.0000
Tl 0.5000 0.5000 0.0000
Si 0.0000 0.5000 0.5000
Mg 0.5000 0.0000 0.5000

For the uncorrected formation energy, the calculation gives 6.612 kcal/mol of atoms. For the total energy, the calculation gives -2.651 eV/atom. For the size of the total moment, the calculation gives 0.000 μB/f.u. The calculation puts the density of states at the Fermi level at 0.3960 states/eV/atom.



The following is a GGA-PBE calculation of crystalline Mg2TlSi at its relaxed geometry, from the Alexandria database.

Cell: 3.3147 4.2204 6.3155 Å, 90.00 90.00 90.00°
Positions (direct):
Mg 0.5000 0.5000 0.2861
Mg 0.0000 0.0000 0.0066
Si 0.0000 0.0000 0.4514
Tl 0.5000 0.5000 0.7559

For the uncorrected formation energy, the calculation gives 3.671 kcal/mol of atoms. For the total energy, the calculation gives -2.585 eV/atom. For the size of the total moment, the calculation gives 0.000 μB/f.u. The calculation puts the density of states at the Fermi level at 0.5212 states/eV/atom.



The following is a GGA-PBE calculation of crystalline MgTl2Si2 at its relaxed geometry, from the Alexandria database.

Cell: 6.9736 6.9736 4.9359 Å, 90.00 90.00 90.00°
Positions (direct):
Tl 0.1857 0.6857 0.5000
Tl 0.6857 0.8143 0.5000
Tl 0.8143 0.3143 0.5000
Tl 0.3143 0.1857 0.5000
Si 0.3823 0.8823 0.0000
Si 0.1177 0.3823 0.0000
Si 0.8823 0.6177 0.0000
Si 0.6177 0.1177 0.0000
Mg 0.0000 0.0000 0.0000
Mg 0.5000 0.5000 0.0000

For the uncorrected formation energy, the calculation gives 6.069 kcal/mol of atoms. For the total energy, the calculation gives -3.171 eV/atom. For the size of the total moment, the calculation gives 0.000 μB/f.u. The calculation puts the density of states at the Fermi level at 0.2933 states/eV/atom. The excess energy over the best structure of this formula in the dataset is 0.028 eV/atom.



The following is a GGA-PBE calculation of crystalline MgTl2SiW at its relaxed geometry, from the Alexandria database.

Cell: 5.3638 5.2723 5.3638 Å, 90.00 90.00 90.00°
Site moments in Bohr magnetons follow the coordinates.
Positions (direct):
W 0.0000 0.0000 0.0000  0.84
Mg 0.0000 0.5000 0.0000  0.01
Tl 0.5000 0.0000 0.0000  -0.01
Tl 0.0000 0.0000 0.5000  0.06
Si 0.5000 0.5000 0.5000  -0.18

For the uncorrected formation energy, the calculation gives 31.195 kcal/mol of atoms. For the total energy, the calculation gives -3.588 eV/atom. For the size of the total moment, the calculation gives 0.673 μB/f.u. The calculation puts the density of states at the Fermi level at 0.9087 states/eV/atom.



The following is a GGA-PBE calculation of crystalline TmMg2Si at its relaxed geometry, from the Alexandria database.

Cell: 4.6252 4.2311 4.2311 Å, 90.00 90.00 90.00°
Positions (direct):
Tm 0.5000 0.0000 0.0000
Si 0.5000 0.5000 0.5000
Mg 0.0000 0.0000 0.5000
Mg 0.0000 0.5000 0.0000

For the uncorrected formation energy, the calculation gives -6.615 kcal/mol of atoms. For the total energy, the calculation gives -3.558 eV/atom. For the size of the total moment, the calculation gives 0.000 μB/f.u. The calculation puts the density of states at the Fermi level at 0.1376 states/eV/atom.



The following is a GGA-PBE calculation of crystalline TmMgSi at its relaxed geometry, from the Alexandria database.

Cell: 4.1887 7.3226 12.4165 Å, 90.00 90.00 90.00°
Positions (direct):
Mg 0.5000 0.7954 0.2500
Mg 0.5000 0.4363 0.3814
Mg 0.5000 0.2046 0.7500
Mg 0.5000 0.4363 0.1186
Mg 0.5000 0.5637 0.8814
Mg 0.5000 0.5637 0.6186
Si 0.5000 0.9405 0.5923
Si 0.0000 0.4518 0.7500
Si 0.0000 0.5482 0.2500
Si 0.5000 0.0595 0.4077
Si 0.5000 0.9405 0.9077
Si 0.5000 0.0595 0.0923
Tm 0.0000 0.2218 0.9496
Tm 0.0000 0.7782 0.0504
Tm 0.0000 0.7782 0.4496
Tm 0.0000 0.2218 0.5504
Tm 0.0000 0.8478 0.7500
Tm 0.0000 0.1522 0.2500

For the uncorrected formation energy, the calculation gives -11.087 kcal/mol of atoms. For the total energy, the calculation gives -4.310 eV/atom. For the size of the total moment, the calculation gives 0.000 μB/f.u. The calculation puts the density of states at the Fermi level at 0.6423 states/eV/atom.



The following is a GGA-PBE calculation of crystalline Tm2MgSi2 at its relaxed geometry, from the Alexandria database.

Cell: 4.1552 7.0878 7.0878 Å, 90.00 90.00 90.00°
Positions (direct):
Si 0.0000 0.8807 0.6193
Si 0.0000 0.3807 0.8807
Si 0.0000 0.1193 0.3807
Si 0.0000 0.6193 0.1193
Mg 0.0000 0.0000 0.0000
Mg 0.0000 0.5000 0.5000
Tm 0.5000 0.1779 0.6779
Tm 0.5000 0.3221 0.1779
Tm 0.5000 0.8221 0.3221
Tm 0.5000 0.6779 0.8221

For the uncorrected formation energy, the calculation gives -16.153 kcal/mol of atoms. For the total energy, the calculation gives -4.977 eV/atom. For the size of the total moment, the calculation gives 0.000 μB/f.u. The calculation puts the density of states at the Fermi level at 0.2982 states/eV/atom.



The following is a GGA-PBE calculation of crystalline TmMgSi at its relaxed geometry, from the Alexandria database.

Cell: 4.6112 4.6112 4.6112 Å, 60.00 60.00 60.00°
Positions (direct):
Si 0.2500 0.2500 0.2500
Mg 0.5000 0.5000 0.5000
Tm 0.0000 0.0000 0.0000

For the uncorrected formation energy, the calculation gives -8.186 kcal/mol of atoms. For the total energy, the calculation gives -4.185 eV/atom. For the size of the total moment, the calculation gives 0.000 μB/f.u. The calculation puts the density of states at the Fermi level at 0.4817 states/eV/atom.



The following is a GGA-PBE calculation of crystalline MgUSi2 at its relaxed geometry, from the Alexandria database.

Cell: 4.7203 4.7203 4.7232 Å, 60.02 60.02 60.00°
Site moments in Bohr magnetons follow the coordinates.
Positions (direct):
Si 0.2501 0.2501 0.2497  0.00
Si 0.7499 0.7499 0.7503  0.00
Mg 0.0000 0.0000 0.0000  0.00
U 0.5000 0.5000 0.5000  1.66

For the uncorrected formation energy, the calculation gives -0.295 kcal/mol of atoms. For the total energy, the calculation gives -5.945 eV/atom. For the size of the total moment, the calculation gives 1.810 μB/f.u. The calculation puts the density of states at the Fermi level at 1.9132 states/eV/atom. The excess energy over the best structure of this formula in the dataset is 0.158 eV/atom.



The following is a GGA-PBE calculation of crystalline MgUSi2 at its relaxed geometry, from the Alexandria database.

Cell: 3.8510 4.3686 4.3686 Å, 90.00 90.00 90.00°
Site moments in Bohr magnetons follow the coordinates.
Positions (direct):
Mg 0.5000 0.5000 0.5000  0.01
U 0.5000 0.0000 0.0000  1.08
Si 0.0000 0.5000 0.0000  -0.01
Si 0.0000 0.0000 0.5000  -0.01

For the uncorrected formation energy, the calculation gives -3.937 kcal/mol of atoms. For the total energy, the calculation gives -6.103 eV/atom. For the size of the total moment, the calculation gives 1.150 μB/f.u. The calculation puts the density of states at the Fermi level at 1.1665 states/eV/atom. The excess energy over the best structure of this formula in the dataset is 0.000 eV/atom.



The following is a GGA-PBE calculation of crystalline MgV2Si2 at its relaxed geometry, from the Alexandria database.

Cell: 7.3987 7.3987 2.6858 Å, 90.00 90.00 90.00°
Positions (direct):
V 0.1152 0.3848 0.0000
V 0.8848 0.6152 0.0000
V 0.6152 0.1152 0.0000
V 0.3848 0.8848 0.0000
Si 0.6782 0.8218 0.5000
Si 0.1782 0.6782 0.5000
Si 0.8218 0.3218 0.5000
Si 0.3218 0.1782 0.5000
Mg 0.0000 0.0000 0.0000
Mg 0.5000 0.5000 0.0000

For the uncorrected formation energy, the calculation gives -3.551 kcal/mol of atoms. For the total energy, the calculation gives -6.290 eV/atom. For the size of the total moment, the calculation gives 0.000 μB/f.u. The calculation puts the density of states at the Fermi level at 0.4228 states/eV/atom. The excess energy over the best structure of this formula in the dataset is 0.138 eV/atom.